First-principles (GGA-PBE) data for Ac2Sb5Au4 after structural relaxation, as listed in Alexandria.

Results
Electronic total energy: -0.1556 Ha/atom
Calculated density: 10.2 Mg/m³
Density of states at the Fermi level: 4.15 states/eV/cell
SG: No. 12
Calculated volume: 27.30 Å³/atom
Energy relative to the elements, uncorrected: -0.42 eV/atom

Unit cell a=7.4649 b=7.4649 c=9.3185 alpha=128.48 beta=128.48 gamma=53.86
Last column: nearest neighbours and their distance in Å.
Sites, in units of the cell vectors:
Ac 0.0004 0.0004 0.2437  6 Au 3.33-3.68, 4 Sb 3.65
Ac 0.9996 0.9996 0.7563  6 Au 3.33-3.68, 4 Sb 3.65
Sb 0.0271 0.5210 0.2743  2 Au 2.83, 1 Sb 3.12
Sb 0.4790 0.9729 0.7257  2 Au 2.83, 1 Sb 3.12
Sb 0.5000 0.5000 0.0000  4 Au 2.87-2.88, 4 Sb 3.12
Sb 0.5210 0.0271 0.2743  2 Au 2.83, 1 Sb 3.12
Sb 0.9729 0.4790 0.7257  2 Au 2.83, 1 Sb 3.12
Au 0.3484 0.3484 0.1153  3 Sb 2.83-2.87, 1 Au 2.88
Au 0.3497 0.3497 0.5825  3 Sb 2.83-2.88, 1 Au 2.88
Au 0.6503 0.6503 0.4175  3 Sb 2.83-2.88, 1 Au 2.88
Au 0.6516 0.6516 0.8847  3 Sb 2.83-2.87, 1 Au 2.88